4
Lattice="0.0000 3.6272 3.6272 3.6272 0.0000 3.6272 3.6272 3.6272 0.0000" Properties=species:S:1:pos:R:3 comment="EuHoCuAg (PBE-GGA, relaxed)" vol_a3_per_cell=95.4 space_group="F-43m (216)" delta_e_f_kj_per_mol_fu=-68 final_energy_ev_per_cell=-22.51 pbc="T T T"
Eu 0.0000 0.0000 0.0000
Ho 3.6272 3.6272 3.6272
Cu 1.8136 1.8136 1.8136
Ag 5.4408 5.4408 5.4408

13
Lattice="5.4090 -4.8811 0.0000 5.4090 4.8811 0.0000 -1.3699 0.0000 4.8925" Properties=species:S:1:pos:R:3 comment="Ho2Pd3Au8 (PBE-GGA, relaxed)" vol_a3_per_cell=258.3 space_group="C2/m (12)" delta_e_f_kj_per_mol_fu=-418 final_energy_ev_per_cell=-55.28 pbc="T T T"
Ho 1.8402 0.0000 1.6324
Ho 7.6081 0.0000 3.2601
Pd 5.4090 2.4846 0.0000
Pd 4.7241 0.0000 2.4463
Pd 5.4090 -2.4846 0.0000
Au -0.2673 0.0000 3.8203
Au 3.3586 2.4355 2.0289
Au 2.6563 0.0000 4.5277
Au 6.0896 2.4355 2.8636
Au 3.3586 -2.4355 2.0289
Au 6.7919 0.0000 0.3648
Au 6.0896 -2.4355 2.8636
Au 9.7155 0.0000 1.0722

28
Lattice="16.1633 0.0000 0.0000 0.0000 3.9469 0.0000 0.0000 0.0000 6.1556" Properties=species:S:1:pos:R:3 comment="NpCo2Si4 (PBE-GGA, relaxed)" vol_a3_per_cell=392.7 raw_formation_energy_kj_per_mol_fu=-292 space_group="Pnma (62)" final_energy_ev_per_cell=-207.48 pbc="T T T"
Np 2.2305 0.9867 0.0396
Np 5.8512 2.9602 3.1174
Np 10.3121 0.9867 3.0382
Np 13.9328 2.9602 6.1160
Co 0.5519 2.9602 4.5903
Co 3.4095 0.9867 2.9820
Co 4.6722 2.9602 6.0598
Co 7.5297 0.9867 1.5125
Co 8.6335 2.9602 4.6430
Co 11.4911 0.9867 0.0958
Co 12.7538 2.9602 3.1736
Co 15.6114 0.9867 1.5653
Si 0.4593 2.9602 0.9039
Si 1.1025 0.9867 3.2072
Si 2.9814 2.9602 4.2440
Si 3.2487 2.9602 1.7554
Si 4.8330 0.9867 4.8332
Si 5.1002 0.9867 1.1662
Si 6.9791 2.9602 0.1294
Si 7.6223 0.9867 3.9816
Si 8.5409 2.9602 2.1739
Si 9.1842 0.9867 6.0262
Si 11.0631 2.9602 4.9894
Si 11.3303 2.9602 1.3224
Si 12.9146 0.9867 4.4002
Si 13.1818 0.9867 1.9116
Si 15.0607 2.9602 2.9484
Si 15.7040 0.9867 5.2517

12
Lattice="2.9923 -6.2366 0.0000 2.9923 6.2366 0.0000 0.0000 0.0000 5.8317" Properties=species:S:1:pos:R:3 comment="HoAl3NiAg (PBE-GGA, relaxed)" vol_a3_per_cell=217.7 space_group="Cmcm (63)" delta_e_f_kj_per_mol_fu=-181 final_energy_ev_per_cell=-52.63 pbc="T T T"
Ho 2.9923 3.5056 4.3738
Ho 2.9923 -3.5056 1.4579
Al 1.3127 0.0000 0.0000
Al 1.3127 0.0000 2.9158
Al 2.9923 1.6521 1.4579
Al 2.9923 -1.6521 4.3738
Al 4.6718 0.0000 0.0000
Al 4.6718 0.0000 2.9158
Ni 2.9923 0.9114 4.3738
Ni 2.9923 -0.9114 1.4579
Ag 2.9923 4.2915 1.4579
Ag 2.9923 -4.2915 4.3738